No. 1
DFT (SCAN) results for a PBEsol-optimized structure of Lu3Ge3Ir2.

a b c (Å): 4.243 5.488 13.874
angles (deg): 90.00 90.00 112.74
Atoms (fractional coordinates):
Lu: 0.583 0.167 0.110
Lu: 0.583 0.167 0.390
Lu: 0.145 0.289 0.750
Lu: 0.855 0.711 0.250
Lu: 0.417 0.833 0.890
Lu: 0.417 0.833 0.610
Ge: 0.122 0.244 0.965
Ge: 0.122 0.244 0.535
Ge: 0.150 0.301 0.250
Ge: 0.878 0.756 0.465
Ge: 0.878 0.756 0.035
Ge: 0.850 0.699 0.750
Ir: 0.701 0.401 0.897
Ir: 0.299 0.599 0.397
Ir: 0.701 0.401 0.603
Ir: 0.299 0.599 0.103

Summary:
Formation energy from the elements, eV/atom: -1.0987



No. 2
DFT (SCAN) results for a PBEsol-optimized structure of Lu3Ge13Ir4.

a b c (Å): 8.869 8.869 8.869
angles (deg): 90.00 90.00 90.00
Atoms (fractional coordinates):
Lu: 0.000 0.500 0.750
Lu: 0.500 0.250 0.000
Lu: 0.750 0.000 0.500
Lu: 0.000 0.500 0.250
Lu: 0.500 0.750 0.000
Lu: 0.250 0.000 0.500
Ge: 0.500 0.500 0.500
Ge: 0.000 0.000 0.000
Ge: 0.810 0.356 0.500
Ge: 0.644 0.500 0.810
Ge: 0.500 0.190 0.644
Ge: 0.190 0.644 0.500
Ge: 0.356 0.500 0.190
Ge: 0.500 0.810 0.356
Ge: 0.810 0.644 0.500
Ge: 0.644 0.500 0.190
Ge: 0.190 0.356 0.500
Ge: 0.356 0.500 0.810
Ge: 0.500 0.810 0.644
Ge: 0.500 0.190 0.356
Ge: 0.310 0.000 0.856
Ge: 0.144 0.310 0.000
Ge: 0.000 0.144 0.690
Ge: 0.690 0.000 0.144
Ge: 0.856 0.690 0.000
Ge: 0.000 0.856 0.310
Ge: 0.310 0.000 0.144
Ge: 0.144 0.690 0.000
Ge: 0.690 0.000 0.856
Ge: 0.856 0.310 0.000
Ge: 0.000 0.144 0.310
Ge: 0.000 0.856 0.690
Ir: 0.750 0.250 0.750
Ir: 0.250 0.750 0.250
Ir: 0.750 0.750 0.250
Ir: 0.250 0.250 0.750
Ir: 0.250 0.750 0.750
Ir: 0.750 0.250 0.250
Ir: 0.250 0.250 0.250
Ir: 0.750 0.750 0.750

Summary:
Formation energy from the elements, eV/atom: -0.5862



No. 3
DFT (SCAN) results for a PBEsol-optimized structure of Mg2Ge2Ir.

a b c (Å): 4.169 6.379 6.379
angles (deg): 90.00 90.00 90.00
Atoms (fractional coordinates):
Ge: 0.000 0.364 0.864
Ge: 0.000 0.864 0.636
Ge: 0.000 0.636 0.136
Ge: 0.000 0.136 0.364
Ir: 0.000 0.000 0.000
Ir: 0.000 0.500 0.500
Mg: 0.500 0.177 0.677
Mg: 0.500 0.677 0.823
Mg: 0.500 0.823 0.323
Mg: 0.500 0.323 0.177

Summary:
Formation energy from the elements, eV/atom: -0.4533



No. 4
DFT (SCAN) results for a PBEsol-optimized structure of MnGe3Ir.

a b c (Å): 4.752 4.752 4.752
angles (deg): 90.00 90.00 90.00
Each line ends with the local moment (μB).
Atoms (fractional coordinates):
Ge: 0.000 0.500 0.000  -0.03
Ge: 0.000 0.000 0.500  -0.03
Ge: 0.500 0.000 0.000  -0.03
Ir: 0.000 0.000 0.000  -0.02
Mn: 0.500 0.500 0.500  4.56

Summary:
Formation energy from the elements, eV/atom: 0.4608



No. 5
DFT (SCAN) results for a PBEsol-optimized structure of Mn4Ge6Ir7.

a b c (Å): 6.897 6.897 6.897
angles (deg): 109.47 109.47 109.47
Each line ends with the local moment (μB).
Atoms (fractional coordinates):
Mn: 0.500 0.000 0.000  4.12
Mn: 0.000 0.500 0.000  4.12
Mn: 0.500 0.500 0.500  4.12
Mn: 0.000 0.000 0.500  4.12
Ge: 0.694 0.000 0.694  -0.02
Ge: 0.306 0.000 0.306  -0.02
Ge: 0.000 0.694 0.694  -0.02
Ge: 0.000 0.306 0.306  -0.02
Ge: 0.306 0.306 0.000  -0.02
Ge: 0.694 0.694 0.000  -0.02
Ir: 0.750 0.250 0.500  0.23
Ir: 0.250 0.500 0.750  0.23
Ir: 0.500 0.750 0.250  0.23
Ir: 0.500 0.250 0.750  0.23
Ir: 0.250 0.750 0.500  0.23
Ir: 0.000 0.000 0.000  0.13
Ir: 0.750 0.500 0.250  0.23

Summary:
Formation energy from the elements, eV/atom: -0.4714



No. 6
DFT (SCAN) results for a PBEsol-optimized structure of MnGeIr.

a b c (Å): 4.045 5.232 7.710
angles (deg): 90.00 90.00 90.00
Each line ends with the local moment (μB).
Atoms (fractional coordinates):
Ge: 0.750 0.802 0.391  -0.06
Ge: 0.750 0.302 0.109  -0.06
Ge: 0.250 0.198 0.609  -0.06
Ge: 0.250 0.698 0.891  -0.06
Ir: 0.750 0.303 0.436  0.09
Ir: 0.750 0.803 0.064  0.09
Ir: 0.250 0.197 0.936  0.09
Ir: 0.250 0.697 0.564  0.09
Mn: 0.250 0.047 0.269  3.57
Mn: 0.750 0.453 0.769  3.57
Mn: 0.250 0.547 0.231  3.57
Mn: 0.750 0.953 0.731  3.57

Summary:
Formation energy from the elements, eV/atom: -0.4339



No. 7
DFT (SCAN) results for a PBEsol-optimized structure of GeMoIrSe2.

a b c (Å): 4.555 4.824 4.824
angles (deg): 90.00 90.00 90.00
Each line ends with the local moment (μB).
Atoms (fractional coordinates):
Mo: 0.500 0.500 0.500  3.60
Ir: 0.500 0.000 0.000  -0.39
Ge: 0.000 0.000 0.000  0.02
Se: 0.000 0.000 0.500  -0.19
Se: 0.000 0.500 0.000  -0.19

Summary:
Formation energy without anion corrections, meV/atom: 1282



No. 8
DFT (SCAN) results for a PBEsol-optimized structure of GeTe2IrN.

a b c (Å): 3.647 5.437 5.437
angles (deg): 90.00 90.00 90.00
Atoms (fractional coordinates):
Ge: 0.500 0.500 0.500
Ir: 0.000 0.000 0.000
Te: 0.000 0.000 0.500
Te: 0.000 0.500 0.000
N: 0.500 0.000 0.000

Summary:
Formation energy without anion corrections, meV/atom: 358



Looking at raw total energy for the records above, in order, we have -748.57; -1420.59; -242.98; -144.31; -693.26; -438.97; -158.82; -172.19 eV for the cell shown.
Looking at density of states at the Fermi level for the records above, in order, we have 0.331; 0.329; 0.158; 0.608; 0.395; 0.417; 0.775; 0.525 states/eV/atom.